A relaxed structure of NaGaPb2, computed with PBE-GGA.

The calculation puts the calculated formation energy at -52 meV per atom. As for the total energy: -0.220 Ry/atom.

```
NaGaPb2
1.0
3.8608 0.0000 0.0000
0.0000 3.8608 0.0000
0.0000 0.0000 7.3472
Pb Na Ga
2 1 1
Direct
0.0000 0.0000 0.7812 Pb
0.0000 0.0000 0.2188 Pb
0.5000 0.5000 0.5000 Na
0.5000 0.5000 0.0000 Ga
```